! Si2HgAs, relaxed, DFT PBE-GGA; values from VASP
&SYSTEM
  ibrav = 0, nat = 4, ntyp = 3
/
ATOMIC_SPECIES
As 74.92 As.upf
Hg 200.59 Hg.upf
Si 28.09 Si.upf
ATOMIC_POSITIONS crystal
As 0.750 0.250 0.500
Hg 0.250 0.750 0.500
Si 0.965 0.965 0.000
Si 0.535 0.535 0.000
CELL_PARAMETERS angstrom
-0.328 2.608 -4.874
0.669 -3.193 -4.474
-3.086 0.723 4.540
! **SG**: Immm, No. 71
! **N(E_F)**: 1.37 states/eV/f.u.
! **Distance to the lowest polymorph of the same formula**: 1.32 eV per formula unit
! **ρ**: 7114 kg/m3
! **Crystal system**: orthorhombic
! **Energy relative to the elements, uncorrected**: 583 meV/atom